(1)
Here is a relaxed NaCu2IrF8 crystal from the Alexandria database. Energies are from PBE-GGA.

a b c (Å): 5.1689 5.1689 6.3723
angles (deg): 113.93 113.93 90.00
Last column: nearest neighbours and their distance in Å.
Sites, in units of the cell vectors:
1 F 0.1270 0.6411 0.7938  1 Ir 2.08, 1 Cu 2.17, 1 Na 2.32
2 F 0.6278 0.6692 0.7471  1 Ir 2.11, 1 Cu 2.12
3 F 0.1193 0.0780 0.7471  1 Ir 2.11, 1 Cu 2.12
4 Ir 0.0000 0.0000 0.0000  8 F 2.08-2.11
5 F 0.3308 0.8807 0.2529  1 Ir 2.11, 1 Cu 2.12
6 Cu 0.2500 0.7500 0.5000  4 F 2.12
7 Cu 0.5000 0.5000 0.0000  8 F 2.17-2.41
8 Na 0.7500 0.2500 0.5000  8 F 2.32-2.37
9 F 0.6668 0.1527 0.7938  1 Ir 2.08, 1 Cu 2.17, 1 Na 2.32
10 F 0.8473 0.8730 0.2062  1 Ir 2.08, 1 Cu 2.17, 1 Na 2.32
11 F 0.9220 0.3722 0.2529  1 Ir 2.11, 1 Cu 2.12
12 F 0.3589 0.3332 0.2062  1 Ir 2.08, 1 Cu 2.17, 1 Na 2.32

## Properties
Calculated total energy = -51.5 eV/f.u.
ΔE_f (raw) = -1.509 eV/atom
Volume = 11.62 Å³ per atom

---

(2)
Here is a relaxed InAgGe crystal from the Alexandria database. Energies are from PBE-GGA.

a b c (Å): 5.7841 5.7248 4.4218
angles (deg): 113.31 90.32 103.14
Last column: nearest neighbours and their distance in Å.
Sites, in units of the cell vectors:
1 Ag 0.9820 0.6487 0.0976  3 Ge 2.80-2.85, 2 Ag 2.87-2.88, 3 In 2.89-3.02
2 Ge 0.7942 0.8619 0.7002  3 Ag 2.72-2.84, 2 In 2.97-2.98
3 Ge 0.3842 0.0929 0.3280  3 Ag 2.77-2.85, 4 In 2.89-3.05
4 Ag 0.3091 0.7640 0.6608  3 Ge 2.72-2.78, 2 Ag 2.87-2.88, 2 In 2.97-3.00
5 In 0.9119 0.2513 0.3993  4 Ge 2.96-3.05, 4 Ag 2.98-3.29
6 In 0.4673 0.4640 0.0130  2 Ge 2.89-2.93, 4 Ag 2.89-3.19

## Properties
Calculated total energy = -9.7 eV/f.u.
DFT formation energy = 180.1 meV per atom
Volume = 21.70 Å³ per atom

---

(3)
Here is a relaxed Li5B8C8 crystal from the Alexandria database. Energies are from PBE-GGA.

a b c (Å): 4.6971 5.4499 7.2773
angles (deg): 90.00 90.02 90.00
Last column: nearest neighbours and their distance in Å.
Sites, in units of the cell vectors:
1 Li 0.0000 0.5003 0.5000  6 C 2.33-2.35, 6 B 2.36-2.40
2 B 0.6693 0.0014 0.2566  3 C 1.56-1.59
3 C 0.1678 0.2500 0.7364  3 B 1.56-1.58
4 B 0.1689 0.2500 0.2513  3 C 1.56-1.58
5 C 0.3313 0.9995 0.2587  3 B 1.56-1.59
6 B 0.6693 0.4986 0.2566  3 C 1.56-1.59
7 B 0.3307 0.0014 0.7434  3 C 1.56-1.59
8 C 0.8322 0.2500 0.2636  3 B 1.56-1.58
9 B 0.1668 0.7500 0.2545  3 C 1.56-1.59
10 Li 0.5000 0.7500 0.5000  6 C 2.33-2.36, 6 B 2.37-2.38
11 C 0.3313 0.5005 0.2587  3 B 1.56-1.59
12 Li 0.5000 0.2500 0.5000  6 C 2.32-2.36, 6 B 2.37-2.39
13 B 0.8311 0.2500 0.7487  3 C 1.56-1.58
14 B 0.8332 0.7500 0.7455  3 C 1.56-1.59
15 Li 0.0000 0.9997 0.5000  6 C 2.33-2.35, 6 B 2.36-2.40
16 C 0.6687 0.9995 0.7413  3 B 1.56-1.59
17 B 0.3307 0.4986 0.7434  3 C 1.56-1.59
18 C 0.6687 0.5005 0.7413  3 B 1.56-1.59
19 C 0.8293 0.7500 0.2606  3 B 1.56-1.59
20 Li 0.5000 0.7500 0.0000  6 B 2.43-2.45, 6 C 2.45
21 C 0.1707 0.7500 0.7394  3 B 1.56-1.59

## Properties
ΔE to the lowest computed polymorph = 20.2 meV/atom
Calculated total energy = -139.4 eV/f.u.
DFT formation energy = -124.8 meV per atom
Volume = 8.87 Å³ per atom